Entry 1:
Computed, not measured: crystalline Hf3CrMo at its relaxed geometry at the PBE level of DFT.

abc: 4.718 4.718 4.718
angles: 90.00 90.00 90.00
Fractional coordinates of all 5 atoms:
Hf  0.000  0.000  0.500
Hf  0.000  0.500  0.000
Hf  0.500  0.000  0.000
Cr  0.000  0.000  0.000
Mo  0.500  0.500  0.500

Computed properties:
The calculation puts the density of states at the Fermi level at 8.96 states/eV/f.u. Its symmetry is Pm-3m, No. 221. The value obtained for the energy relative to the elements is 0.909 eV per atom. The value obtained for the final energy is -9.154 eV/atom.

---

Entry 2:
Computed, not measured: crystalline CaCuSb at its relaxed geometry at the PBE level of DFT.

abc: 4.407 4.407 4.343
angles: 90.00 90.00 120.00
Fractional coordinates of all 3 atoms:
Ca  0.000  0.000  0.000
Cu  0.667  0.333  0.500
Sb  0.333  0.667  0.500

Computed properties:
The calculation puts the density of states at the Fermi level at 1.08 states/eV/f.u. Its symmetry is P-6m2, No. 187. The value obtained for the final energy is -4.033 eV/atom.

---

Entry 3:
Computed, not measured: crystalline PmZr2Al at its relaxed geometry at the PBE level of DFT.

abc: 3.131 3.131 9.550
angles: 90.00 90.00 90.00
Fractional coordinates of all 4 atoms:
Pm  0.000  0.000  0.000
Zr  0.500  0.500  0.294
Zr  0.500  0.500  0.706
Al  0.000  0.000  0.500

Computed properties:
The calculation puts the density of states at the Fermi level at 3.37 states/eV/f.u. Its symmetry is P4/mmm, No. 123. The value obtained for the energy relative to the elements is -0.106 eV per atom. The value obtained for the final energy is -6.503 eV/atom.

---

Entry 4:
Computed, not measured: crystalline DyTm2C at its relaxed geometry at the PBE level of DFT.

abc: 9.735 9.735 9.735
angles: 20.63 20.63 20.63
Fractional coordinates of all 4 atoms:
Dy  0.000  0.000  0.000
Tm  0.121  0.121  0.121
Tm  0.879  0.879  0.879
C  0.500  0.500  0.500

Computed properties:
The calculation puts the density of states at the Fermi level at 4.55 states/eV/f.u. Its symmetry is R-3m, No. 166. The value obtained for the energy relative to the elements is -0.111 eV per atom. The value obtained for the final energy is -5.803 eV/atom.

---

Entry 5:
Computed, not measured: crystalline Y12Ho6Er at its relaxed geometry at the PBE level of DFT.

abc: 9.120 9.120 9.120
angles: 106.67 106.67 106.67
Fractional coordinates of all 19 atoms:
Y  0.135  0.825  0.282
Y  0.175  0.718  0.865
Y  0.191  0.578  0.483
Y  0.282  0.135  0.825
Y  0.422  0.517  0.809
Y  0.483  0.191  0.578
Y  0.517  0.809  0.422
Y  0.578  0.483  0.191
Y  0.718  0.865  0.175
Y  0.809  0.422  0.517
Y  0.825  0.282  0.135
Y  0.865  0.175  0.718
Ho  0.078  0.185  0.451
Ho  0.185  0.451  0.078
Ho  0.451  0.078  0.185
Ho  0.549  0.922  0.815
Ho  0.815  0.549  0.922
Ho  0.922  0.815  0.549
Er  0.000  0.000  0.000

Computed properties:
The calculation puts the density of states at the Fermi level at 32.91 states/eV/f.u. Its symmetry is R-3, No. 148. The value obtained for the energy relative to the elements is 0.260 eV per atom. The value obtained for the final energy is -5.509 eV/atom.

---

Entry 6:
Computed, not measured: crystalline KZn2Re at its relaxed geometry at the PBE level of DFT.

abc: 6.610 6.610 6.610
angles: 157.38 125.14 60.09
Fractional coordinates of all 4 atoms:
K  0.000  0.000  0.000
Zn  0.298  0.798  0.500
Zn  0.702  0.202  0.500
Re  0.500  0.500  0.000

Computed properties:
The calculation puts the density of states at the Fermi level at 3.52 states/eV/f.u. Its symmetry is Immm, No. 71. The value obtained for the energy relative to the elements is 0.897 eV per atom. The value obtained for the final energy is -3.126 eV/atom.

---

Entry 7:
Computed, not measured: crystalline Pr3CBr2 at its relaxed geometry at the PBE level of DFT.

abc: 7.202 7.202 6.740
angles: 100.13 100.13 113.36
Fractional coordinates of all 12 atoms:
Pr  0.000  0.500  0.000
Pr  0.108  0.253  0.497
Pr  0.253  0.108  0.997
Pr  0.500  0.000  0.500
Pr  0.747  0.892  0.003
Pr  0.892  0.747  0.503
C  0.087  0.913  0.250
C  0.913  0.087  0.750
Br  0.273  0.727  0.750
Br  0.430  0.570  0.250
Br  0.570  0.430  0.750
Br  0.727  0.273  0.250

Computed properties:
The calculation puts the density of states at the Fermi level at 2.73 states/eV/f.u. Its symmetry is C2/c, No. 15. The value obtained for the final energy is -5.325 eV/atom.

---

Entry 8:
Computed, not measured: crystalline OsS6Cl8 at its relaxed geometry at the PBE level of DFT.

abc: 7.227 7.234 9.920
angles: 103.19 103.21 100.13
Fractional coordinates of all 15 atoms:
Os  0.000  0.000  0.000
S  0.046  0.574  0.442
S  0.390  0.524  0.028
S  0.436  0.966  0.578
S  0.564  0.034  0.422
S  0.610  0.476  0.972
S  0.954  0.426  0.558
Cl  0.046  0.799  0.152
Cl  0.227  0.887  0.893
Cl  0.250  0.252  0.168
Cl  0.264  0.157  0.577
Cl  0.736  0.843  0.423
Cl  0.750  0.748  0.832
Cl  0.773  0.113  0.107
Cl  0.954  0.201  0.848

Computed properties:
The calculation puts the density of states at the Fermi level at 4.49 states/eV/f.u. Its symmetry is P-1, No. 2. The value obtained for the final energy is -3.453 eV/atom.

---

Taking the records one at a time from the top gives total magnetic moment values of 0.0, 0.0, 0.0, 0.6, 0.0, 0.6, 0.0, 5.1 μB/cell.